(1)
# K4TiO4 (SCAN, PBEsol geometry)
data_K4TiO4
_chemical_formula_sum 'K16 Ti4 O16'
_space_group_name_H-M_alt 'P 1 21/c 1'
_space_group_IT_number 14
_space_group_name_Hall '-P 2ybc'
_cell_length_a 10.446
_cell_length_b 6.572
_cell_length_c 10.639
_cell_angle_alpha 90.00
_cell_angle_beta 111.40
_cell_angle_gamma 90.00
loop_
_atom_site_label
_atom_site_type_symbol
_atom_site_fract_x
_atom_site_fract_y
_atom_site_fract_z
K1 K 0.057 0.086 0.193
K2 K 0.167 0.602 0.086
K3 K 0.367 0.672 0.889
K4 K 0.434 0.208 0.799
Ti1 Ti 0.244 0.136 0.993
O1 O 0.075 0.240 0.970
O2 O 0.229 0.005 0.836
O3 O 0.305 0.536 0.640
O4 O 0.365 0.151 0.526
# - Relative energy among the computed polymorphs: 8 meV/atom
# - Mass density: 2.62 g/cm³
# - Final energy: -10.535 eV per atom

(2)
# KTi6O12 (SCAN, PBEsol geometry)
data_KTi6O12
_chemical_formula_sum 'K4 Ti24 O48'
_space_group_name_H-M_alt 'I 4/m'
_space_group_IT_number 87
_space_group_name_Hall '-I 4'
_cell_length_a 10.160
_cell_length_b 10.160
_cell_length_c 8.848
_cell_angle_alpha 90.00
_cell_angle_beta 90.00
_cell_angle_gamma 90.00
loop_
_atom_site_label
_atom_site_type_symbol
_atom_site_fract_x
_atom_site_fract_y
_atom_site_fract_z
K1 K 0.000 0.000 0.221
Ti1 Ti 0.150 0.333 0.166
Ti2 Ti 0.151 0.331 0.500
O1 O 0.040 0.664 0.500
O2 O 0.040 0.667 0.167
O3 O 0.155 0.204 0.000
O4 O 0.156 0.204 0.333
# - Mass density: 3.77 g/cm³
# - Final energy: -12.676 eV per atom